LiMgAl2N: optimized geometry, PBE-GGA.

Geometry as CIF:
```
data_LiMgAl2N
_chemical_formula_sum 'Li1 Mg1 Al2 N1'
_symmetry_space_group_name_H-M 'P 1'
_symmetry_Int_Tables_number 1
_symmetry_space_group_name_Hall 'P 1'
_cell_length_a 5.353
_cell_length_b 3.779
_cell_length_c 5.353
_cell_angle_alpha 90.00
_cell_angle_beta 90.00
_cell_angle_gamma 90.00
loop_
_atom_site_label
_atom_site_type_symbol
_atom_site_fract_x
_atom_site_fract_y
_atom_site_fract_z
Li1 Li 0.500 0.500 0.500
N1 N 0.000 0.500 0.000
Al1 Al 0.000 0.000 0.500
Al2 Al 0.500 0.000 0.000
Mg1 Mg 0.000 0.000 0.000
```

Output
Raw formation energy   0.85 eV per atom
Space-group type   P4/mmm, No. 123
Crystal system   tetragonal

=====

NaLiMgAl: optimized geometry, PBE-GGA.

Geometry as CIF:
```
data_NaLiMgAl
_chemical_formula_sum 'Na1 Li1 Mg1 Al1'
_symmetry_space_group_name_H-M 'P 1'
_symmetry_Int_Tables_number 1
_symmetry_space_group_name_Hall 'P 1'
_cell_length_a 4.928
_cell_length_b 4.928
_cell_length_c 4.928
_cell_angle_alpha 60.00
_cell_angle_beta 60.00
_cell_angle_gamma 60.00
loop_
_atom_site_label
_atom_site_type_symbol
_atom_site_fract_x
_atom_site_fract_y
_atom_site_fract_z
Al1 Al 0.750 0.750 0.750
Li1 Li 0.000 0.000 0.000
Na1 Na 0.250 0.250 0.250
Mg1 Mg 0.500 0.500 0.500
```

Output
Space-group type   F-43m, No. 216
Formation energy from the elements   0.022 eV/atom
Crystal system   cubic

=====

Li3MgAl2O6: optimized geometry, PBE-GGA.

Geometry as CIF:
```
data_Li3MgAl2O6
_chemical_formula_sum 'Li3 Mg1 Al2 O6'
_symmetry_space_group_name_H-M 'P 1'
_symmetry_Int_Tables_number 1
_symmetry_space_group_name_Hall 'P 1'
_cell_length_a 5.023
_cell_length_b 5.023
_cell_length_c 5.039
_cell_angle_alpha 99.66
_cell_angle_beta 99.66
_cell_angle_gamma 119.95
loop_
_atom_site_label
_atom_site_type_symbol
_atom_site_fract_x
_atom_site_fract_y
_atom_site_fract_z
O1 O 0.722 0.722 0.223
Al1 Al 0.666 0.334 0.000
O2 O 0.573 0.926 0.781
Al2 Al 0.334 0.666 0.000
Mg1 Mg 0.000 0.000 0.000
O3 O 0.074 0.427 0.219
Li1 Li 0.165 0.835 0.500
O4 O 0.427 0.074 0.219
O5 O 0.926 0.573 0.781
Li2 Li 0.500 0.500 0.500
O6 O 0.278 0.278 0.777
Li3 Li 0.835 0.165 0.500
```

Output
Raw formation energy   -2.43 eV per atom
Space-group type   C2/m, No. 12
Crystal system   monoclinic